1.
## GaP2WCl (GGA-PBE)

Data for a relaxed GaP2WCl crystal.

abc: 4.679 4.598 4.679
angles: 90.00 90.00 90.00
Element x y z (fractional)
1 P 0.000 0.000 0.500
2 P 0.500 0.000 0.000
3 Ga 0.000 0.000 0.000
4 W 0.500 0.500 0.500
5 Cl 0.000 0.500 0.000

Calculated density ... 5.8 g cm⁻³
Space-group type ... P4/mmm
E_form (uncorrected) ... 1298 meV per atom

2.
## Pr6TlGe2 (GGA-PBE)

Data for a relaxed Pr6TlGe2 crystal.

abc: 8.966 8.966 8.966
angles: 106.87 109.66 111.92
Element x y z (fractional)
1 Pr 0.544 0.725 0.818
2 Pr 0.456 0.275 0.182
3 Pr 0.093 0.275 0.818
4 Pr 0.907 0.725 0.182
5 Pr 0.797 0.752 0.549
6 Pr 0.203 0.248 0.451
7 Pr 0.203 0.752 0.956
8 Pr 0.797 0.248 0.044
9 Pr 0.705 0.380 0.675
10 Pr 0.295 0.620 0.325
11 Pr 0.295 0.970 0.675
12 Pr 0.705 0.030 0.325
13 Tl 0.000 0.500 0.500
14 Tl 0.000 0.000 0.000
15 Ge 0.500 0.382 0.882
16 Ge 0.500 0.618 0.118
17 Ge 0.639 0.000 0.639
18 Ge 0.361 0.000 0.361

Calculated density ... 7.2 g cm⁻³
Energy relative to the elements ... -0.49 eV per atom
Space-group type ... Immm

DOS at the Fermi energy list, top to bottom, in states/eV/f.u.: 3.979 8.595
Magnetic moment list, top to bottom, in μB per cell: 2.64 0.00
V list, top to bottom, in Å³/atom: 20.130 30.767